Record 1
Entry from OQMD via LeMat-Bulk: a relaxed structure of CoPAuO (PBE+U).

Its energy is -4.295 eV/atom.

It has space group P4/nmm (No. 129, origin choice 2), with a = 3.772 Å, b = 3.772 Å, c = 6.976 Å, α = 90.00°, β = 90.00° and γ = 90.00°. Symmetry generates all atoms from Co at (0.250, 0.750, 0.000), P at (0.250, 0.250, 0.163), Au at (0.250, 0.250, 0.682) and O at (0.250, 0.750, 0.500).

Record 2
Entry from OQMD via LeMat-Bulk: a relaxed structure of CoTeAuO (PBE+U).

Its energy is -4.397 eV/atom.

It has space group P4/nmm (No. 129, origin choice 2), with a = 4.031 Å, b = 4.031 Å, c = 10.307 Å, α = 90.00°, β = 90.00° and γ = 90.00°. Symmetry generates all atoms from Co at (0.250, 0.250, 0.012), Te at (0.250, 0.250, 0.692), Au at (0.250, 0.750, 0.500) and O at (0.250, 0.750, 0.000).

Record 3
Entry from OQMD via LeMat-Bulk: a relaxed structure of CoTeAuO (PBE+U).

Its energy is -4.263 eV/atom.

It has space group Pmc2_1 (No. 26), with a = 3.974 Å, b = 7.139 Å, c = 5.733 Å, α = 90.00°, β = 90.00° and γ = 90.00°. Symmetry generates all atoms from Co at (0.000, 0.124, 0.000), Te at (0.500, 0.332, 0.159), Au at (0.500, 0.295, 0.645) and O at (0.000, 0.102, 0.669).

Record 4
Entry from OQMD via LeMat-Bulk: a relaxed structure of YCo4Au3O12 (PBE+U).

Its energy is -5.737 eV/atom.

It has space group Im-3 (No. 204), with a = 7.439 Å, b = 7.439 Å, c = 7.439 Å, α = 90.00°, β = 90.00° and γ = 90.00°. Symmetry generates all atoms from Y at (0.000, 0.000, 0.000), Co at (0.250, 0.250, 0.250), Au at (0.000, 0.000, 0.500) and O at (0.000, 0.177, 0.292).